{"formula": "Al2InAs", "functional": "PBE", "state": "optimized geometry", "space_group": "P4mm (99)", "energy_ev_per_atom": -3.58, "formation_enthalpy_0k_ev_per_atom": 0.142, "magmom_total_mub_per_cell": 0.000, "lattice_angstrom": [[-0.0294, -2.7316, 1.0389], [-0.3860, -1.0269, -2.7089], [9.4306, -0.5353, -1.1407]], "species": ["As", "Al", "Al", "In"], "fractional_positions": [[0.0000, 0.0000, 0.4538], [0.0000, 0.0000, 0.0343], [0.5000, 0.5000, 0.2458], [0.5000, 0.5000, 0.7661]]}

---

{"formula": "SrYPO2", "functional": "PBE", "state": "optimized geometry", "space_group": "P4/mmm (123)", "energy_ev_per_atom": -6.32, "magmom_total_mub_per_cell": 1.681, "formation_energy_uncorrected_ev_per_atom": -1.630, "lattice_angstrom": [[-4.1394, -1.4069, 0.8152], [1.5466, -4.0950, 0.7861], [0.6135, 1.2410, 5.2574]], "species": ["Y", "Sr", "O", "O", "P"], "fractional_positions": [[0.0000, 0.0000, 0.0000], [0.5000, 0.5000, 0.5000], [0.0000, 0.5000, 0.0000], [0.5000, 0.0000, 0.0000], [0.0000, 0.0000, 0.5000]]}